A plane-wave DFT calculation with PBE was carried out for a geometry-optimized Th6Hg3C structure.

## Properties
* volume: 574.91 Å³/cell
* energy of formation from the pure elements: -135 kJ/mol of formula units
* M_tot: 0.0 μB/f.u.

abc: 6.5590 8.4016 11.9753
angles: 90.00 119.40 90.00
Closest atoms and distances in Å follow each position.
Space group P2_1/c (No. 14)
Inequivalent atoms, fractional coordinates:
Th1 0.0677 0.0537 0.2236 x4  1 C 2.53
Th2 0.1746 0.7252 0.0635 x4  1 C 2.52
Th3 0.3915 0.1430 0.0512 x4  1 C 2.62
Hg1 0.3255 0.1137 0.7323 x4  6 Th 3.16-3.35
Hg2 0.5000 0.0000 0.5000 x2  6 Th 3.16-3.21
C1 0.0000 0.0000 0.0000 x2  6 Th 2.52-2.62

---

A plane-wave DFT calculation with PBE was carried out for a geometry-optimized Th4Hg5C structure.

## Properties
* volume: 519.34 Å³/cell
* energy of formation from the pure elements: -263 kJ/mol of formula units
* M_tot: 0.0 μB/f.u.

abc: 16.5746 3.9531 8.2146
angles: 90.00 105.22 90.00
Closest atoms and distances in Å follow each position.
Space group C2/m (No. 12)
Inequivalent atoms, fractional coordinates:
Th1 0.0586 0.0000 0.3515 x4  2 C 2.64
Th2 0.1309 0.5000 0.7321 x4  1 C 2.48
Hg1 0.0000 0.5000 0.0000 x2  4 Hg 3.33, 6 Th 3.42-3.47
Hg2 0.1665 0.0000 0.0540 x4  4 Hg 3.14-3.33, 4 Th 3.23-3.39
Hg3 0.2247 0.5000 0.3589 x4  4 Hg 2.99-3.14, 2 Th 3.34
C1 0.0000 0.5000 0.5000 x2  6 Th 2.48-2.64

---

A plane-wave DFT calculation with PBE was carried out for a geometry-optimized Th5Hg2C structure.

## Properties
* volume: 1049.92 Å³/cell
* energy of formation from the pure elements: 107 kJ/mol of formula units
* M_tot: 0.0 μB/f.u.

abc: 5.1055 16.9072 12.1632
angles: 90.00 90.00 90.00
Closest atoms and distances in Å follow each position.
Space group Cmcm (No. 63)
Inequivalent atoms, fractional coordinates:
Th1 0.0000 0.1062 0.1194 x8  1 C 2.52
Th2 0.0000 0.2810 0.7500 x4  2 C 2.55
Th3 0.0000 0.3092 0.0823 x8  1 C 2.52
Hg1 0.0000 0.0826 0.6354 x8  1 Hg 2.79
C1 0.0000 0.2216 0.2500 x4  6 Th 2.52-2.55

---

A plane-wave DFT calculation with PBE was carried out for a geometry-optimized Th7Hg2C2 structure.

## Properties
* volume: 709.62 Å³/cell
* energy of formation from the pure elements: 146 kJ/mol of formula units
* M_tot: 0.0 μB/f.u.

abc: 7.7585 11.5308 8.0354
angles: 90.00 99.20 90.00
Closest atoms and distances in Å follow each position.
Space group C2/m (No. 12)
Inequivalent atoms, fractional coordinates:
Th1 0.0000 0.0000 0.0000 x2  2 C 2.58
Th2 0.0926 0.5000 0.8022 x4  2 C 2.47-2.52
Th3 0.2062 0.2989 0.1849 x8  1 C 2.40
Hg1 0.0000 0.2943 0.5000 x4  6 Th 3.20-3.39
C1 0.2037 0.5000 0.1081 x4  5 Th 2.40-2.58

---

A plane-wave DFT calculation with PBE was carried out for a geometry-optimized Th3Hg2C structure.

## Properties
* volume: 630.60 Å³/cell
* energy of formation from the pure elements: -65 kJ/mol of formula units
* distance to the lowest polymorph of the same formula: 0.201 eV/atom
* M_tot: 0.0 μB/f.u.

abc: 8.5504 11.6754 6.5469
angles: 90.00 105.24 90.00
Closest atoms and distances in Å follow each position.
Space group C2/c (No. 15)
Inequivalent atoms, fractional coordinates:
Th1 0.1688 0.0732 0.4809 x8  2 C 2.55-2.56
Th2 0.2500 0.2500 0.0000 x4  2 C 3.04, 4 Hg 3.09-3.18
Hg1 0.0000 0.3096 0.2500 x4  1 Hg 2.98, 6 Th 3.09-3.29
Hg2 0.0000 0.4352 0.7500 x4  1 Hg 2.98, 4 Th 3.18-3.33
C1 0.0000 0.0824 0.7500 x4  4 Th 2.55-2.56

---

A plane-wave DFT calculation with PBE was carried out for a geometry-optimized TmThHgC structure.

## Properties
* volume: 179.15 Å³/cell
* energy of formation from the pure elements: -152 kJ/mol of formula units
* M_tot: 0.0 μB/f.u.

abc: 6.2430 3.6081 8.2178
angles: 90.00 104.57 90.00
Closest atoms and distances in Å follow each position.
Space group Cm (No. 8)
Inequivalent atoms, fractional coordinates:
Tm1 0.0000 0.0000 0.0000 x2  3 C 2.48
Th1 0.2165 0.0000 0.6490 x2  3 C 2.54
Hg1 0.4361 0.0000 0.3077 x2  3 Tm 3.21-3.22, 3 Th 3.42
C1 0.1105 0.5000 0.8315 x2  3 Tm 2.48, 3 Th 2.54

---

A plane-wave DFT calculation with PBE was carried out for a geometry-optimized TmTh2HgC structure.

## Properties
* volume: 124.87 Å³/cell
* energy of formation from the pure elements: -144 kJ/mol of formula units
* M_tot: 0.0 μB/f.u.

abc: 5.0689 5.0689 4.8599
angles: 90.00 90.00 90.00
Closest atoms and distances in Å follow each position.
Space group P4/mmm (No. 123)
Inequivalent atoms, fractional coordinates:
Tm1 0.0000 0.0000 0.0000 x1  2 C 2.43
Th1 0.0000 0.5000 0.5000 x2  2 C 2.53
Hg1 0.5000 0.5000 0.0000 x1  8 Th 3.51, 4 Tm 3.58
C1 0.0000 0.0000 0.5000 x1  2 Tm 2.43, 4 Th 2.53

---

A plane-wave DFT calculation with PBE was carried out for a geometry-optimized Tm2ThHgC structure.

## Properties
* volume: 118.51 Å³/cell
* energy of formation from the pure elements: -177 kJ/mol of formula units
* M_tot: 0.0 μB/f.u.

abc: 4.8508 4.8508 5.0363
angles: 90.00 90.00 90.00
Closest atoms and distances in Å follow each position.
Space group P4/mmm (No. 123)
Inequivalent atoms, fractional coordinates:
Tm1 0.0000 0.5000 0.0000 x2  2 C 2.43
Th1 0.0000 0.0000 0.5000 x1  2 C 2.52
Hg1 0.5000 0.5000 0.5000 x1  4 Th 3.43, 8 Tm 3.50
C1 0.0000 0.0000 0.0000 x1  4 Tm 2.43, 2 Th 2.52